Entry 1:
30
Lattice="-2.178 -4.440 3.853 -2.279 -2.332 -3.976 9.168 -6.017 -1.752" Properties=species:S:1:pos:R:3 comment="PBE with a Hubbard U Li3Mn2Si2O8, optimized geometry" final_energy_ev_per_cell=-209.03 rho_g_cm3=2.921 crystal_system=monoclinic pbc="T T T"
Li 6.426 -6.577 -1.411
Li 0.747 -5.801 1.402
Li 2.857 -9.195 -1.190
Li 5.522 -9.483 -2.570
Li 0.996 -6.355 -1.797
Li -0.578 -3.844 -2.347
Mn 0.032 -8.653 0.124
Mn 6.742 -7.328 -4.513
Mn -0.870 -3.285 0.765
Mn 3.690 -6.344 -0.067
Si 3.837 -6.902 -3.118
Si -1.786 -6.011 -0.404
Si 5.490 -8.915 0.541
Si 2.021 -3.633 -0.556
O 0.410 -3.237 -0.603
O 4.524 -6.279 -1.740
O 2.685 -3.213 -1.978
O 3.565 -5.668 -4.144
O -3.038 -6.775 0.303
O 5.180 -10.481 0.843
O -0.983 -5.152 0.768
O 4.053 -8.165 0.186
O -0.716 -7.084 -1.080
O 3.938 -10.495 -2.176
O -2.254 -4.854 -1.543
O 6.454 -8.720 -0.827
O 2.072 -5.299 -0.310
O 2.426 -7.667 -2.589
O 0.461 -5.229 -3.258
O 4.888 -8.013 -3.760

***

Entry 2:
30
Lattice="5.108 0.000 0.000 0.000 6.734 -0.029 0.000 0.108 10.544" Properties=species:S:1:pos:R:3 comment="PBE with a Hubbard U Li3Mn2Si2O8, optimized geometry" dos_ef_per_ev_atom=0.243 final_energy_ev_per_cell=-209.07 rho_g_cm3=2.883 crystal_system=monoclinic pbc="T T T"
Li 2.823 0.857 8.877
Li 0.321 4.264 6.954
Li 2.346 2.564 6.071
Li 2.285 0.803 3.605
Li 4.787 4.210 1.683
Li 2.762 2.511 0.799
Mn 2.857 4.304 8.832
Mn 0.260 0.826 6.977
Mn 2.251 4.250 3.560
Mn 4.848 0.772 1.705
Si 0.267 2.575 9.583
Si 2.896 5.891 6.169
Si 4.841 2.521 4.311
Si 2.213 5.837 0.897
O 2.492 5.975 9.840
O 1.923 2.563 9.560
O 4.763 1.263 8.794
O 4.834 3.914 8.817
O 2.280 0.547 6.887
O 2.289 4.501 6.844
O 4.518 5.892 6.476
O 0.280 2.507 5.891
O 2.616 5.921 4.568
O 3.185 2.509 4.289
O 0.345 1.209 3.523
O 0.274 3.860 3.545
O 2.828 0.493 1.615
O 2.819 4.447 1.572
O 0.590 5.838 1.205
O 4.829 2.453 0.619

***

Entry 3:
10
Lattice="-1.640 -4.048 -2.288 1.569 -4.434 1.330 -3.419 -2.893 2.772" Properties=species:S:1:pos:R:3 comment="PBE with a Hubbard U LiMn2SiO6, optimized geometry" dos_ef_per_ev_atom=0.036 final_energy_ev_per_cell=-71.17 rho_g_cm3=4.213 crystal_system=triclinic pbc="T T T"
Li -2.120 -8.456 0.914
Mn -1.518 -5.708 0.722
Mn -3.316 -2.897 2.693
Si -0.095 -2.822 -0.232
O -1.363 -4.083 -0.418
O 0.339 -5.892 1.312
O -1.431 -7.193 -0.825
O -2.153 -6.920 2.180
O -3.565 -5.637 0.689
O -2.258 -4.440 2.404

***

Entry 4:
22
Lattice="5.769 -0.004 -0.005 2.748 5.073 0.005 0.075 -0.126 9.377" Properties=species:S:1:pos:R:3 comment="PBE with a Hubbard U Li2MnSi2O6, optimized geometry" dos_ef_per_ev_atom=0.000 final_energy_ev_per_cell=-157.13 rho_g_cm3=2.673 crystal_system=monoclinic pbc="T T T"
Li 5.398 3.484 8.275
Li 2.841 2.048 3.587
Li 5.749 2.895 5.790
Li 3.192 1.458 1.101
Mn 2.202 1.183 7.033
Mn 6.390 3.760 2.344
Si 3.024 3.989 5.945
Si 3.531 4.376 1.256
Si 5.061 0.567 8.120
Si 5.568 0.954 3.432
O 4.505 4.236 6.597
O 2.608 3.192 1.909
O 2.771 2.450 5.496
O 5.005 3.865 0.808
O 7.590 4.390 7.033
O 2.785 5.010 4.694
O 1.001 0.553 2.344
O 5.769 -0.004 -0.005
O 3.587 1.078 8.569
O 5.821 2.493 3.881
O 5.984 1.751 7.468
O 4.087 0.707 2.780

***

Entry 5:
28
Lattice="5.492 0.000 0.000 -2.746 6.738 0.006 0.000 -0.757 8.124" Properties=species:S:1:pos:R:3 comment="PBE with a Hubbard U Li4MnSi2O7, optimized geometry" dos_ef_per_ev_atom=0.000 final_energy_ev_per_cell=-188.89 rho_g_cm3=2.771 crystal_system=monoclinic pbc="T T T"
Li -0.875 5.596 1.011
Li 0.875 5.217 5.073
Li -0.971 3.645 3.301
Li 0.971 3.266 7.363
Li 3.542 2.972 0.436
Li 1.951 2.594 4.498
Li 1.708 5.929 7.951
Li -1.708 6.307 3.889
Mn 0.884 1.863 1.631
Mn 4.609 1.485 5.693
Si 1.809 4.722 2.146
Si -1.809 4.344 6.208
Si 3.652 0.745 2.669
Si 1.840 0.367 6.731
O 1.724 6.084 3.219
O -1.724 5.705 7.281
O 1.011 5.158 0.800
O -1.011 4.780 4.862
O 3.373 4.373 1.875
O 2.120 3.995 5.937
O 1.034 3.487 2.933
O -1.034 3.109 6.995
O 3.771 1.865 3.860
O 1.722 1.486 7.922
O 4.410 1.317 1.322
O 1.082 0.939 5.384
O 2.085 0.353 2.392
O 3.408 -0.026 6.454

***

Entry 6:
15
Lattice="-0.078 4.020 3.066 -2.675 -2.952 3.708 5.630 -1.721 2.408" Properties=species:S:1:pos:R:3 comment="PBE with a Hubbard U Li3Mn2Si2O8, optimized geometry" dos_ef_per_ev_atom=0.216 final_energy_ev_per_cell=-104.48 rho_g_cm3=2.988 crystal_system=triclinic pbc="T T T"
Li 2.380 -1.305 5.758
Li -0.440 -0.441 4.573
Li 0.545 -1.377 1.838
Mn 3.316 -0.190 8.407
Mn 2.365 0.618 3.441
Si -0.438 1.511 2.158
Si 0.516 -3.314 4.318
O -0.293 2.874 3.092
O 3.249 -2.773 6.824
O 3.616 -0.602 4.433
O 1.977 0.184 7.065
O 2.294 2.438 4.385
O 0.574 -1.968 5.266
O -0.355 1.124 5.959
O 0.372 0.286 2.922

***

Entry 7:
28
Lattice="5.219 0.020 -0.034 0.052 7.145 0.008 -0.043 0.167 10.365" Properties=species:S:1:pos:R:3 comment="PBE with a Hubbard U Li2Mn5Si5O16, optimized geometry" dos_ef_per_ev_atom=0.000 final_energy_ev_per_cell=-212.76 rho_g_cm3=2.943 crystal_system=triclinic pbc="T T T"
Li 1.970 3.956 3.539
Li 4.329 7.167 1.346
Mn 1.006 0.273 8.911
Mn 1.052 3.858 8.747
Mn 3.659 3.630 6.570
Mn 4.398 3.621 1.656
Mn 3.588 7.172 6.905
Si 1.436 7.119 3.445
Si 0.966 5.581 6.083
Si 1.823 5.318 1.087
Si 3.964 1.677 4.172
Si 3.641 2.026 9.412
O 1.528 6.865 6.922
O 1.112 6.654 1.900
O 4.559 5.484 6.200
O 1.310 5.601 9.879
O 3.425 5.439 1.307
O 1.371 5.785 4.450
O 1.635 4.192 6.640
O 1.205 3.995 1.796
O 3.716 3.160 3.599
O 4.277 3.308 8.567
O 0.254 1.085 3.808
O 2.006 2.065 9.139
O 3.823 1.719 5.789
O 4.110 1.862 0.612
O 2.898 0.578 3.520
O 4.180 0.594 8.765

***

Entry 8:
30
Lattice="6.733 -0.007 0.001 0.196 7.293 -0.002 0.036 -0.958 7.147" Properties=species:S:1:pos:R:3 comment="PBE with a Hubbard U Li3Mn2Si2O8, optimized geometry" final_energy_ev_per_cell=-209.32 rho_g_cm3=2.979 crystal_system=triclinic pbc="T T T"
Li 6.778 3.943 6.112
Li 0.102 0.821 2.305
Li 3.587 3.952 2.736
Li 3.278 -0.153 6.571
Li 5.341 5.752 1.184
Li 5.252 1.784 4.790
Mn 6.774 -0.471 6.271
Mn 3.491 0.943 2.490
Mn 0.386 4.002 3.051
Mn 3.380 3.833 5.727
Si 1.684 1.839 4.900
Si 1.882 5.988 1.123
Si 5.201 2.862 0.590
Si 5.258 6.134 4.261
O 0.408 6.183 0.349
O 0.374 2.093 3.924
O 1.686 3.020 6.056
O 1.807 0.004 2.082
O 1.956 4.611 1.978
O 1.713 0.340 5.507
O 3.177 6.072 0.034
O 3.161 2.281 4.167
O 3.818 2.041 0.844
O 4.101 5.000 4.335
O 5.421 3.884 1.876
O 4.961 -0.032 5.469
O 5.161 2.866 6.385
O 5.105 -0.378 2.819
O 6.466 1.772 0.526
O 6.718 5.427 4.688